# PBE+U CaCd2MoF, optimized geometry
data_CaCd2MoF
_cell_length_a 5.442
_cell_length_b 4.274
_cell_length_c 5.442
_cell_angle_alpha 90.00
_cell_angle_beta 90.00
_cell_angle_gamma 90.00
_symmetry_space_group_name_H-M 'P 1'
_symmetry_Int_Tables_number 1
loop_
_symmetry_equiv_pos_as_xyz
'x,y,z'
loop_
_atom_site_label
_atom_site_type_symbol
_atom_site_fract_x
_atom_site_fract_y
_atom_site_fract_z
Mo1 Mo 0.000 0.500 0.000
F1 F 0.000 0.000 0.000
Ca1 Ca 0.500 0.500 0.500
Cd1 Cd 0.000 0.000 0.500
Cd2 Cd 0.500 0.000 0.000
# Spin magnetization, μB per formula unit: 3.928
# Symmetry: No. 123
# Calculated total energy, eV per atom: -2.86
# N(E_F), states/eV per cell: 2.42